No. 1
# PBE La12Co6Sb, optimized geometry
# Energy relative to the elements, uncorrected in eV per atom: -0.239
# Crystal system: cubic
# Total energy in eV/atom: -5.81
data_La12Co6Sb
_space_group_name_H-M_alt 'I m -3'
_space_group_IT_number 204
_space_group_name_Hall '-I 2 2 3'
_cell_length_a 10.149
_cell_length_b 10.149
_cell_length_c 10.149
_cell_angle_alpha 90.00
_cell_angle_beta 90.00
_cell_angle_gamma 90.00
loop_
_atom_site_label
_atom_site_type_symbol
_atom_site_fract_x
_atom_site_fract_y
_atom_site_fract_z
La1 La 0.000 0.313 0.188
Co1 Co 0.000 0.122 0.500
Sb1 Sb 0.000 0.000 0.000

No. 2
# PBE CrFe2As, optimized geometry
# Crystal system: cubic
# Total energy in eV/atom: -7.76
# Formation energy in meV per atom: 44.2
data_CrFe2As
_space_group_name_H-M_alt 'F -4 3 m'
_space_group_IT_number 216
_space_group_name_Hall 'F -4 2 3'
_cell_length_a 5.758
_cell_length_b 5.758
_cell_length_c 5.758
_cell_angle_alpha 90.00
_cell_angle_beta 90.00
_cell_angle_gamma 90.00
loop_
_atom_site_label
_atom_site_type_symbol
_atom_site_fract_x
_atom_site_fract_y
_atom_site_fract_z
Cr1 Cr 0.000 0.000 0.000
Fe1 Fe 0.000 0.000 0.500
Fe2 Fe 0.250 0.250 0.750
As1 As 0.250 0.250 0.250

No. 3
# PBE K2CaMg, optimized geometry
# Crystal system: monoclinic
# Total energy in eV/atom: -1.27
# Formation energy in meV per atom: 181.0
data_K2CaMg
_space_group_name_H-M_alt 'C 1 2/m 1'
_space_group_IT_number 12
_cell_length_a 16.041
_cell_length_b 4.124
_cell_length_c 6.075
_cell_angle_alpha 90.00
_cell_angle_beta 112.03
_cell_angle_gamma 90.00
loop_
_space_group_symop_operation_xyz
'x,y,z'
'-x,-y,-z'
'-x,y,-z'
'x,-y,z'
'x+1/2,y+1/2,z'
'-x+1/2,-y+1/2,-z'
'-x+1/2,y+1/2,-z'
'x+1/2,-y+1/2,z'
loop_
_atom_site_label
_atom_site_type_symbol
_atom_site_fract_x
_atom_site_fract_y
_atom_site_fract_z
K1 K 0.206 0.000 0.206
Ca1 Ca 0.000 0.000 0.500
Mg1 Mg 0.000 0.500 0.000

No. 4
# PBE Y3AlS6, optimized geometry
# Energy relative to the elements, uncorrected in eV per atom: -1.841
# Crystal system: orthorhombic
# Total energy in eV/atom: -6.63
data_Y3AlS6
_space_group_name_H-M_alt 'C m c 21'
_space_group_IT_number 36
_cell_length_a 10.724
_cell_length_b 13.340
_cell_length_c 6.460
_cell_angle_alpha 90.00
_cell_angle_beta 90.00
_cell_angle_gamma 90.00
loop_
_space_group_symop_operation_xyz
'x,y,z'
'-x,-y,z+1/2'
'-x,y,z'
'x,-y,z+1/2'
'x+1/2,y+1/2,z'
'-x+1/2,-y+1/2,z+1/2'
'-x+1/2,y+1/2,z'
'x+1/2,-y+1/2,z+1/2'
loop_
_atom_site_label
_atom_site_type_symbol
_atom_site_fract_x
_atom_site_fract_y
_atom_site_fract_z
Y1 Y 0.000 0.099 0.000
Y2 Y 0.184 0.400 0.913
Al1 Al 0.000 0.300 0.372
S1 S 0.000 0.284 0.721
S2 S 0.000 0.458 0.234
S3 S 0.163 0.029 0.707
S4 S 0.164 0.234 0.200

No. 5
# PBE ScH, optimized geometry
# Crystal system: tetragonal
# Total energy in eV/atom: -5.33
data_ScH
_space_group_name_H-M_alt 'P 42/m n m'
_space_group_IT_number 136
_space_group_name_Hall '-P 4n 2n'
_cell_length_a 5.534
_cell_length_b 5.534
_cell_length_c 3.421
_cell_angle_alpha 90.00
_cell_angle_beta 90.00
_cell_angle_gamma 90.00
loop_
_atom_site_label
_atom_site_type_symbol
_atom_site_fract_x
_atom_site_fract_y
_atom_site_fract_z
Sc1 Sc 0.202 0.202 0.000
H1 H 0.159 0.841 0.000

No. 6
# PBE Nd3TlAu5, optimized geometry
# Crystal system: hexagonal
# Total energy in eV/atom: -4.36
# Formation energy in meV per atom: -682.6
data_Nd3TlAu5
_space_group_name_H-M_alt 'P 63/m c m'
_space_group_IT_number 193
_space_group_name_Hall '-P 6c 2'
_cell_length_a 8.9325
_cell_length_b 8.9325
_cell_length_c 6.3148
_cell_angle_alpha 90.00
_cell_angle_beta 90.00
_cell_angle_gamma 120.00
loop_
_atom_site_label
_atom_site_type_symbol
_atom_site_fract_x
_atom_site_fract_y
_atom_site_fract_z
Nd1 Nd 0.0000 0.3512 0.2500
Tl1 Tl 0.0000 0.0000 0.0000
Au1 Au 0.0000 0.3188 0.7500
Au2 Au 0.3333 0.6667 0.0000

No. 7
# PBE RbHfN2O, optimized geometry
# Energy relative to the elements, uncorrected in eV per atom: -0.643
# Crystal system: tetragonal
# Total energy in eV/atom: -7.15
data_RbHfN2O
_space_group_name_H-M_alt 'P 4/m m m'
_space_group_IT_number 123
_space_group_name_Hall '-P 4 2'
_cell_length_a 4.434
_cell_length_b 4.434
_cell_length_c 4.156
_cell_angle_alpha 90.00
_cell_angle_beta 90.00
_cell_angle_gamma 90.00
loop_
_atom_site_label
_atom_site_type_symbol
_atom_site_fract_x
_atom_site_fract_y
_atom_site_fract_z
Rb1 Rb 0.000 0.000 0.000
Hf1 Hf 0.500 0.500 0.500
N1 N 0.000 0.500 0.500
O1 O 0.500 0.500 0.000

No. 8
# PBE AcIrPb, optimized geometry
# E above lowest polymorph in meV per atom: 0.0
# Crystal system: monoclinic
# Total energy in eV/atom: -6.03
# Formation energy in meV per atom: -471.4
data_AcIrPb
_space_group_name_H-M_alt 'P 1 21/m 1'
_space_group_IT_number 11
_cell_length_a 7.890
_cell_length_b 4.513
_cell_length_c 13.258
_cell_angle_alpha 90.00
_cell_angle_beta 90.74
_cell_angle_gamma 90.00
loop_
_space_group_symop_operation_xyz
'x,y,z'
'-x,-y,-z'
'-x,y+1/2,-z'
'x,-y+1/2,z'
loop_
_atom_site_label
_atom_site_type_symbol
_atom_site_fract_x
_atom_site_fract_y
_atom_site_fract_z
Ac1 Ac 0.036 0.250 0.123
Ac2 Ac 0.153 0.250 0.419
Ac3 Ac 0.455 0.750 0.790
Ir1 Ir 0.236 0.750 0.253
Ir2 Ir 0.256 0.250 0.918
Ir3 Ir 0.262 0.750 0.591
Pb1 Pb 0.127 0.250 0.704
Pb2 Pb 0.351 0.750 0.044
Pb3 Pb 0.492 0.750 0.411

No. 9
# PBE Cr2SiPAu, optimized geometry
# E above lowest polymorph in meV per atom: 29.4
# Energy relative to the elements, uncorrected in eV per atom: -0.077
# Crystal system: trigonal
# Total energy in eV/atom: -6.75
data_Cr2SiPAu
_space_group_name_H-M_alt 'R 3 m'
_space_group_IT_number 160
_space_group_name_Hall 'R 3 -2"'
_cell_length_a 3.8922
_cell_length_b 3.8922
_cell_length_c 18.6058
_cell_angle_alpha 90.00
_cell_angle_beta 90.00
_cell_angle_gamma 120.00
loop_
_atom_site_label
_atom_site_type_symbol
_atom_site_fract_x
_atom_site_fract_y
_atom_site_fract_z
Cr1 Cr 0.0000 0.0000 0.0000
Cr2 Cr 0.0000 0.0000 0.3756
Si1 Si 0.0000 0.0000 0.2522
P1 P 0.0000 0.0000 0.7267
Au1 Au 0.0000 0.0000 0.8565

No. 10
# PBE ZnMoAu, optimized geometry
# E above lowest polymorph in meV per atom: 519.2
# Crystal system: cubic
# Total energy in eV/atom: -4.51
# Formation energy in meV per atom: 613.8
data_ZnMoAu
_space_group_name_H-M_alt 'F -4 3 m'
_space_group_IT_number 216
_space_group_name_Hall 'F -4 2 3'
_cell_length_a 6.097
_cell_length_b 6.097
_cell_length_c 6.097
_cell_angle_alpha 90.00
_cell_angle_beta 90.00
_cell_angle_gamma 90.00
loop_
_atom_site_label
_atom_site_type_symbol
_atom_site_fract_x
_atom_site_fract_y
_atom_site_fract_z
Zn1 Zn 0.000 0.000 0.000
Mo1 Mo 0.000 0.000 0.500
Au1 Au 0.250 0.250 0.250